# CsIrSeO GGA-PBE optimized geometry
# V in Å³/f.u.: 102.3
# Energy above the most stable polymorph in this dataset in meV per atom: 973
data_CsIrSeO
_space_group_name_H-M_alt 'P 4/n m m'
_space_group_IT_number 129
_cell_length_a 4.408
_cell_length_b 4.408
_cell_length_c 10.537
_cell_angle_alpha 90.00
_cell_angle_beta 90.00
_cell_angle_gamma 90.00
loop_
_space_group_symop_operation_xyz
'x,y,z'
'-x,-y,-z'
'-y+1/2,x,z'
'y+1/2,-x,-z'
'-x+1/2,-y+1/2,z'
'x+1/2,y+1/2,-z'
'y,-x+1/2,z'
'-y,x+1/2,-z'
'x+1/2,-y,-z'
'-x+1/2,y,z'
'-y,-x,-z'
'y,x,z'
'-x,y+1/2,-z'
'x,-y+1/2,z'
'y+1/2,x+1/2,-z'
'-y+1/2,-x+1/2,z'
loop_
_atom_site_label
_atom_site_type_symbol
_atom_site_fract_x
_atom_site_fract_y
_atom_site_fract_z
Cs1 Cs 0.250 0.750 0.000
Ir1 Ir 0.250 0.250 0.460
Se1 Se 0.250 0.250 0.239
O1 O 0.250 0.750 0.500